## i
A plane-wave DFT calculation with SCAN was carried out for a crystal of ScRhI2N relaxed with PBEsol.

It has space group P4/mmm (No. 123), with a = 5.6568 Å, b = 5.6568 Å, c = 3.7920 Å, α = 90.00°, β = 90.00° and γ = 90.00°. The asymmetric unit holds Sc at (0.0000, 0.0000, 0.0000), Rh at (0.5000, 0.5000, 0.5000), I at (0.0000, 0.5000, 0.0000) and N at (0.0000, 0.0000, 0.5000).

=====

## ii
A plane-wave DFT calculation with SCAN was carried out for a crystal of ScRhI2N relaxed with PBEsol.

It has space group P4/mmm (No. 123), with a = 5.5262 Å, b = 5.5262 Å, c = 3.6628 Å, α = 90.00°, β = 90.00° and γ = 90.00°. The asymmetric unit holds Sc at (0.0000, 0.0000, 0.0000), Rh at (0.5000, 0.5000, 0.5000), I at (0.0000, 0.5000, 0.5000) and N at (0.5000, 0.5000, 0.0000).

=====

Energies, relative to the best one, in meV/atom: i 223; ii 0.

=====

## i
A plane-wave DFT calculation with SCAN was carried out for a crystal of TlRhIN2 relaxed with PBEsol.

It has space group P4/mmm (No. 123), with a = 4.0507 Å, b = 4.0507 Å, c = 5.5401 Å, α = 90.00°, β = 90.00° and γ = 90.00°. The asymmetric unit holds Tl at (0.0000, 0.0000, 0.0000), Rh at (0.5000, 0.5000, 0.5000), I at (0.5000, 0.5000, 0.0000) and N at (0.0000, 0.5000, 0.5000).

=====

## ii
A plane-wave DFT calculation with SCAN was carried out for a crystal of TlRhIN2 relaxed with PBEsol.

It has space group P4/mmm (No. 123), with a = 4.1128 Å, b = 4.1128 Å, c = 6.5093 Å, α = 90.00°, β = 90.00° and γ = 90.00°. The asymmetric unit holds Tl at (0.0000, 0.0000, 0.0000), Rh at (0.5000, 0.5000, 0.5000), I at (0.0000, 0.0000, 0.5000) and N at (0.0000, 0.5000, 0.0000).

=====

Energies, relative to the best one, in meV/atom: i 0; ii 883.

=====

## i
A plane-wave DFT calculation with SCAN was carried out for a crystal of Te2RuIN relaxed with PBEsol.

It has space group P4/mmm (No. 123), with a = 5.0169 Å, b = 5.0169 Å, c = 5.7213 Å, α = 90.00°, β = 90.00° and γ = 90.00°. The asymmetric unit holds Te at (0.0000, 0.5000, 0.0000), Ru at (0.0000, 0.0000, 0.0000), I at (0.0000, 0.0000, 0.5000) and N at (0.5000, 0.5000, 0.5000).

=====

## ii
A plane-wave DFT calculation with SCAN was carried out for a crystal of Te2RuIN relaxed with PBEsol.

It has space group P4/mmm (No. 123), with a = 5.5303 Å, b = 5.5303 Å, c = 3.6425 Å, α = 90.00°, β = 90.00° and γ = 90.00°. The asymmetric unit holds Te at (0.0000, 0.5000, 0.0000), Ru at (0.0000, 0.0000, 0.0000), I at (0.5000, 0.5000, 0.5000) and N at (0.0000, 0.0000, 0.5000).

=====

Energies, relative to the best one, in meV/atom: i 848; ii 0.

=====

## i
A plane-wave DFT calculation with SCAN was carried out for a crystal of SnSIN2 relaxed with PBEsol.

It has space group P4/mmm (No. 123), with a = 4.0637 Å, b = 4.0637 Å, c = 5.1989 Å, α = 90.00°, β = 90.00° and γ = 90.00°. The asymmetric unit holds Sn at (0.0000, 0.0000, 0.0000), S at (0.5000, 0.5000, 0.5000), I at (0.5000, 0.5000, 0.0000) and N at (0.0000, 0.5000, 0.5000).

=====

## ii
A plane-wave DFT calculation with SCAN was carried out for a crystal of SnSIN2 relaxed with PBEsol.

It has space group P4/mmm (No. 123), with a = 4.1351 Å, b = 4.1351 Å, c = 5.4322 Å, α = 90.00°, β = 90.00° and γ = 90.00°. The asymmetric unit holds Sn at (0.0000, 0.0000, 0.0000), S at (0.0000, 0.0000, 0.5000), I at (0.5000, 0.5000, 0.5000) and N at (0.0000, 0.5000, 0.0000).

=====

Energies, relative to the best one, in meV/atom: i 568; ii 0.

=====

## i
A plane-wave DFT calculation with SCAN was carried out for a crystal of TiSIN2 relaxed with PBEsol.

It has space group P4/mmm (No. 123), with a = 3.6848 Å, b = 3.6848 Å, c = 5.9601 Å, α = 90.00°, β = 90.00° and γ = 90.00°. The asymmetric unit holds Ti at (0.0000, 0.0000, 0.0000), S at (0.5000, 0.5000, 0.5000), I at (0.5000, 0.5000, 0.0000) and N at (0.0000, 0.5000, 0.5000).

=====

## ii
A plane-wave DFT calculation with SCAN was carried out for a crystal of TiSIN2 relaxed with PBEsol.

It has space group P4/mmm (No. 123), with a = 3.8412 Å, b = 3.8412 Å, c = 6.0965 Å, α = 90.00°, β = 90.00° and γ = 90.00°. The asymmetric unit holds Ti at (0.0000, 0.0000, 0.0000), S at (0.5000, 0.5000, 0.5000), I at (0.0000, 0.0000, 0.5000) and N at (0.0000, 0.5000, 0.0000).

=====

Energies, relative to the best one, in meV/atom: i 1045; ii 0.

=====

## i
A plane-wave DFT calculation with SCAN was carried out for a crystal of TiSb2IN relaxed with PBEsol.

It has space group P4/mmm (No. 123), with a = 4.6352 Å, b = 4.6352 Å, c = 4.7684 Å, α = 90.00°, β = 90.00° and γ = 90.00°. The asymmetric unit holds Ti at (0.0000, 0.0000, 0.0000), Sb at (0.0000, 0.5000, 0.5000), I at (0.5000, 0.5000, 0.0000) and N at (0.5000, 0.5000, 0.5000).

=====

## ii
A plane-wave DFT calculation with SCAN was carried out for a crystal of TiSb2IN relaxed with PBEsol.

It has space group P4/mmm (No. 123), with a = 5.1923 Å, b = 5.1923 Å, c = 5.4581 Å, α = 90.00°, β = 90.00° and γ = 90.00°. The asymmetric unit holds Ti at (0.0000, 0.0000, 0.0000), Sb at (0.0000, 0.5000, 0.0000), I at (0.0000, 0.0000, 0.5000) and N at (0.5000, 0.5000, 0.5000).

=====

Energies, relative to the best one, in meV/atom: i 0; ii 215.